Record 1
The following is a DFT calculation (PBE) of a relaxed Ca2Pr2In3 crystal.

```
data_Ca2Pr2In3
_chemical_formula_sum 'Ca4 Pr4 In6'
_symmetry_space_group_name_H-M 'C m m m'
_symmetry_Int_Tables_number 65
_symmetry_space_group_name_Hall '-C 2 2'
_cell_length_a 3.720
_cell_length_b 33.030
_cell_length_c 3.580
_cell_angle_alpha 90.00
_cell_angle_beta 90.00
_cell_angle_gamma 90.00
loop_
_atom_site_label
_atom_site_type_symbol
_atom_site_fract_x
_atom_site_fract_y
_atom_site_fract_z
_atom_site_occupancy
Ca1 Ca 0.000 0.197 0.000 1
Pr1 Pr 0.000 0.067 0.000 1
In1 In 0.000 0.365 0.500 1
In2 In 0.000 0.500 0.500 1
```

Density, g cm⁻³: 5.3
E, eV/cell: -48.8
Energy of formation from the pure elements, eV per formula unit: -2.64

---

Record 2
The following is a DFT calculation (PBE) of a relaxed Ca2PrIn crystal.

```
data_Ca2PrIn
_chemical_formula_sum 'Ca4 Pr2 In2'
_symmetry_space_group_name_H-M 'P 1 21/m 1'
_symmetry_Int_Tables_number 11
_symmetry_space_group_name_Hall '-P 2yb'
_cell_length_a 5.678
_cell_length_b 4.036
_cell_length_c 11.827
_cell_angle_alpha 90.00
_cell_angle_beta 90.05
_cell_angle_gamma 90.00
loop_
_atom_site_label
_atom_site_type_symbol
_atom_site_fract_x
_atom_site_fract_y
_atom_site_fract_z
_atom_site_occupancy
Ca1 Ca 0.250 0.250 0.020 1
Ca2 Ca 0.250 0.250 0.461 1
Pr1 Pr 0.252 0.750 0.748 1
In1 In 0.248 0.750 0.235 1
```

Offset from the most stable computed form, eV/atom: 0.0584
Density, g cm⁻³: 4.1
E, eV/cell: -24.5
Energy of formation from the pure elements, eV per formula unit: -0.75